TmGaAs2O8, optimized geometry, DFT PBE; total energy = -0.238 hartree per atom; formation energy without anion corrections = -21.39 eV/f.u.; space-group type = I-4m2
1.0
-3.441 3.441 3.094
3.441 -3.441 3.094
3.441 3.441 -3.094
Tm Ga As O
1 1 2 8
Direct
0.000 0.000 0.000
0.250 0.750 0.500
0.500 0.500 0.000
0.750 0.250 0.500
0.316 0.127 0.811
0.316 0.506 0.189
0.379 0.059 0.319
0.494 0.684 0.811
0.740 0.059 0.681
0.873 0.684 0.189
0.941 0.260 0.319
0.941 0.621 0.681